Record 1
Entry from Alexandria via LeMat-Bulk: K5Cr2O6 after structural relaxation (PBE with a Hubbard U).

Structure (POSCAR):
```
K5Cr2O6
1.0
-1.941 0.771 -5.980
-6.087 -1.390 -1.064
-5.329 13.191 1.303
K Cr O
10 4 12
direct
0.672 0.200 0.998
0.800 0.328 0.502
0.328 0.800 0.002
0.200 0.672 0.498
0.775 0.921 0.712
0.079 0.225 0.788
0.225 0.079 0.288
0.921 0.775 0.212
0.387 0.613 0.750
0.613 0.387 0.250
0.356 0.094 0.576
0.906 0.644 0.924
0.644 0.906 0.424
0.094 0.356 0.076
0.121 0.019 0.627
0.981 0.879 0.873
0.879 0.981 0.373
0.019 0.121 0.127
0.391 0.294 0.644
0.706 0.609 0.856
0.609 0.706 0.356
0.294 0.391 0.144
0.641 0.816 0.556
0.184 0.359 0.944
0.359 0.184 0.444
0.816 0.641 0.056
```

Results
M_tot in μB per cell: 6.000
Total energy in eV/f.u.: -69.9


Record 2
Entry from Alexandria via LeMat-Bulk: K2CrOsO6 after structural relaxation (PBE with a Hubbard U).

Structure (POSCAR):
```
K2CrOsO6
1.0
-0.932 4.074 -3.668
-4.469 3.263 0.545
0.605 5.312 1.530
K Cr Os O
2 1 1 6
direct
0.750 0.750 0.750
0.250 0.250 0.250
0.500 0.500 0.500
0.000 0.000 0.000
0.243 0.757 0.757
0.243 0.757 0.243
0.243 0.243 0.757
0.757 0.757 0.243
0.757 0.243 0.243
0.757 0.243 0.757
```

Results
M_tot in μB per cell: 1.994
Total energy in eV/f.u.: -65.2


Computed V, in the same sequence as the records: 511.20 121.58 Å³/cell.
Computed theoretical density, in the same sequence as the records: 2569 5687 kg/m³.